Record 1
Material: BaZrTaO6
Method: DFT, PBE
State: relaxed

Its volume is 15.50 Å³/atom. The raw formation energy is -2.726 eV/atom.

It has space group P4_2nm (No. 102), with a = 5.2096 Å, b = 5.2096 Å, c = 10.2808 Å, α = 90.00°, β = 90.00° and γ = 90.00°. The distinct sites, in fractional coordinates, are Ba at (0.0000, 0.0000, 0.0000), Zr at (0.0000, 0.0000, 0.3327), Ta at (0.0000, 0.0000, 0.6652), O at (0.1599, 0.1599, 0.5058), O at (0.2221, 0.2221, 0.7818) and O at (0.2376, 0.2376, 0.2097).

Record 2
Material: CaTc2NiCl
Method: DFT, PBE
State: relaxed

Its volume is 17.56 Å³/atom. The raw formation energy is 0.764 eV/atom. The excess energy over the best structure of this formula in the dataset is 0 kJ/mol of formula units.

It has space group P4/mmm (No. 123), with a = 4.4828 Å, b = 4.4828 Å, c = 4.3696 Å, α = 90.00°, β = 90.00° and γ = 90.00°. The distinct sites, in fractional coordinates, are Ca at (0.0000, 0.0000, 0.0000), Tc at (0.0000, 0.5000, 0.5000), Ni at (0.5000, 0.5000, 0.0000) and Cl at (0.5000, 0.5000, 0.5000).

no.,electronic total energy (eV per atom)
1,-8.51
2,-5.31